Density functional theory data (GGA-PBE) for a relaxed structure of UGe2Mo.

a b c (Å): 3.315 3.315 6.629
angles (deg): 90.00 90.00 90.00
Space group P4/mmm (No. 123)
Inequivalent atoms, fractional coordinates:
U 0.000 0.000 0.000 [1 per cell]
Ge 0.500 0.500 0.294 [2 per cell]
Mo 0.000 0.000 0.500 [1 per cell]

The value obtained for the density of states at the Fermi level is 6.8 states/eV per cell. For the relative energy among the computed polymorphs, the calculation gives 0.00 kJ per mole of atoms. As for the density: 10.92 g/cm3. The formation energy comes out at -39 meV per atom. The calculation puts the magnetization at 0.698 μB per atom. The energy comes out at -7.877 eV per atom.